No. 1
The following is a PBE calculation of a relaxed structure of Cs3Nd2ErTe6, from Alexandria.

Cell: 8.0180 8.0180 9.3284 Å, 98.24 98.24 120.00°
Last column: nearest neighbours and their distance in Å.
Element x y z (fractional)
1 Cs 0.0000 0.0000 0.0000  6 Te 3.81-3.88
2 Cs 0.3305 0.6695 0.0000  6 Te 3.81-3.86
3 Cs 0.6695 0.3305 0.0000  6 Te 3.81-3.86
4 Nd 0.1663 0.8337 0.5000  6 Te 3.21
5 Nd 0.8337 0.1663 0.5000  6 Te 3.21
6 Er 0.5000 0.5000 0.5000  6 Te 3.12
7 Te 0.1118 0.4360 0.3079  1 Er 3.12, 2 Nd 3.21
8 Te 0.2404 0.2404 0.6933  1 Er 3.12, 2 Nd 3.21
9 Te 0.4360 0.1118 0.3079  1 Er 3.12, 2 Nd 3.21
10 Te 0.5640 0.8882 0.6921  1 Er 3.12, 2 Nd 3.21
11 Te 0.7595 0.7595 0.3067  1 Er 3.12, 2 Nd 3.21
12 Te 0.8882 0.5640 0.6921  1 Er 3.12, 2 Nd 3.21

ΔE_f (raw)   -1.397 eV/atom
Spin magnetization   0.0 μB per cell
Calculated volume   497.6 Å³ per cell

No. 2
The following is a PBE calculation of a relaxed structure of BeCrFe2, from Alexandria.

Cell: 3.0118 3.7833 7.3048 Å, 90.00 90.00 90.00°
Last column: nearest neighbours and their distance in Å.
Element x y z (fractional)
1 Be 0.0000 0.0000 0.0000  4 Fe 2.25, 4 Be 2.42
2 Be 0.5000 0.5000 0.0000  4 Fe 2.25, 4 Be 2.42
3 Cr 0.0000 0.0000 0.5000  4 Cr 2.42, 4 Fe 2.49
4 Cr 0.5000 0.5000 0.5000  4 Cr 2.42, 4 Fe 2.49
5 Fe 0.0000 0.5000 0.2293  2 Be 2.25, 4 Fe 2.42, 2 Cr 2.49
6 Fe 0.0000 0.5000 0.7707  2 Be 2.25, 4 Fe 2.42, 2 Cr 2.49
7 Fe 0.5000 0.0000 0.2293  2 Be 2.25, 4 Fe 2.42, 2 Cr 2.49
8 Fe 0.5000 0.0000 0.7707  2 Be 2.25, 4 Fe 2.42, 2 Cr 2.49

Spin magnetization   7.4 μB per cell
Calculated volume   83.2 Å³ per cell
Energy of formation from the pure elements   -0.8 kJ per mole of atoms

No. 3
The following is a PBE calculation of a relaxed structure of Pm4SmEu, from Alexandria.

Cell: 6.8098 6.8098 6.8098 Å, 60.00 60.00 60.00°
Last column: nearest neighbours and their distance in Å.
Element x y z (fractional)
1 Pm 0.3770 0.3770 0.3770  6 Pm 3.35-3.46
2 Pm 0.3770 0.3770 0.8689  6 Pm 3.35-3.46
3 Pm 0.3770 0.8689 0.3770  6 Pm 3.35-3.46
4 Pm 0.8689 0.3770 0.3770  6 Pm 3.35-3.46
5 Sm 0.7500 0.7500 0.7500  12 Pm 3.99, 4 Eu 4.17
6 Eu 0.0000 0.0000 0.0000  12 Pm 4.00, 4 Sm 4.17

Spin magnetization   7.2 μB per cell
Calculated volume   223.3 Å³ per cell
Energy of formation from the pure elements   22.3 kJ per mole of atoms